[1]
Here is crystalline BeMo2Ru at its relaxed geometry from Alexandria. Energies are from PBE-GGA.

Values from the calculation:
As for the calculated volume: 14.01 Å³/atom. The value obtained for the total energy is -8.54 eV per atom.

abc: 5.133 8.176 2.722
angles: 90.00 101.17 90.00
Space group C2/m (No. 12)
Inequivalent atoms, fractional coordinates:
Be 0.000 0.000 0.000
Mo 0.250 0.250 0.500
Ru 0.000 0.500 0.000

=====

[2]
Here is crystalline BeMoRu2 at its relaxed geometry from Alexandria. Energies are from PBE-GGA.

Values from the calculation:
As for the calculated volume: 13.33 Å³/atom. The value obtained for the total energy is -8.15 eV per atom.

abc: 2.919 4.495 8.128
angles: 90.00 90.00 90.00
Space group Cmmm (No. 65)
Inequivalent atoms, fractional coordinates:
Be 0.000 0.000 0.000
Mo 0.000 0.000 0.500
Ru 0.000 0.500 0.222

=====

[3]
Here is crystalline Sc2Be2MoRu5 at its relaxed geometry from Alexandria. Energies are from PBE-GGA.

Values from the calculation:
As for the calculated volume: 14.17 Å³/atom. The value obtained for the total energy is -8.10 eV per atom.

abc: 9.456 9.456 3.169
angles: 90.00 90.00 90.00
Space group P4/mbm (No. 127)
Inequivalent atoms, fractional coordinates:
Sc 0.173 0.327 0.000
Be 0.123 0.623 0.000
Mo 0.000 0.000 0.000
Ru 0.000 0.500 0.500
Ru 0.071 0.792 0.500

=====

[4]
Here is crystalline Be2SiMo2Ru5 at its relaxed geometry from Alexandria. Energies are from PBE-GGA.

Values from the calculation:
As for the calculated volume: 12.76 Å³/atom. The value obtained for the uncorrected formation energy is -304 meV per atom.

abc: 9.302 9.302 2.948
angles: 90.00 90.00 90.00
Space group P4/mbm (No. 127)
Inequivalent atoms, fractional coordinates:
Be 0.126 0.374 0.000
Si 0.000 0.000 0.000
Mo 0.176 0.676 0.000
Ru 0.000 0.500 0.500
Ru 0.060 0.205 0.500

=====

[5]
Here is crystalline Ta2BeMoRu at its relaxed geometry from Alexandria. Energies are from PBE-GGA.

Values from the calculation:
As for the calculated volume: 18.27 Å³/atom. The value obtained for the total energy is -8.43 eV per atom.

abc: 4.817 4.817 3.938
angles: 90.00 90.00 90.00
Space group P4/mmm (No. 123)
Inequivalent atoms, fractional coordinates:
Ta 0.000 0.500 0.000
Be 0.000 0.000 0.500
Mo 0.500 0.500 0.500
Ru 0.000 0.000 0.000

=====

[6]
Here is crystalline Be2TcMo2Ru5 at its relaxed geometry from Alexandria. Energies are from PBE-GGA.

Values from the calculation:
As for the calculated volume: 13.27 Å³/atom. The value obtained for the total energy is -8.59 eV per atom.

abc: 9.454 9.454 2.970
angles: 90.00 90.00 90.00
Space group P4/mbm (No. 127)
Inequivalent atoms, fractional coordinates:
Be 0.120 0.380 0.000
Tc 0.000 0.000 0.000
Mo 0.176 0.676 0.000
Ru 0.000 0.500 0.500
Ru 0.076 0.211 0.500

=====

[7]
Here is crystalline BeMo2RuW at its relaxed geometry from Alexandria. Energies are from PBE-GGA.

Values from the calculation:
As for the calculated volume: 14.76 Å³/atom. The value obtained for the total energy is -8.77 eV per atom.

abc: 4.171 4.171 4.242
angles: 90.00 90.00 90.00
Space group P4/mmm (No. 123)
Inequivalent atoms, fractional coordinates:
Be 0.000 0.000 0.000
Mo 0.000 0.500 0.000
Ru 0.500 0.500 0.500
W 0.000 0.000 0.500

=====

[8]
Here is crystalline Be2Mo2Ru5W at its relaxed geometry from Alexandria. Energies are from PBE-GGA.

Values from the calculation:
As for the calculated volume: 13.42 Å³/atom. The value obtained for the total energy is -8.93 eV per atom.

abc: 9.417 9.417 3.027
angles: 90.00 90.00 90.00
Space group P4/mbm (No. 127)
Inequivalent atoms, fractional coordinates:
Be 0.121 0.379 0.000
Mo 0.175 0.675 0.000
Ru 0.000 0.500 0.500
Ru 0.072 0.209 0.500
W 0.000 0.000 0.000

=====

[9]
Here is crystalline BeZnMoRu at its relaxed geometry from Alexandria. Energies are from PBE-GGA.

Values from the calculation:
As for the calculated volume: 13.27 Å³/atom. The value obtained for the total energy is -6.28 eV per atom.

abc: 5.966 5.966 5.966
angles: 90.00 90.00 90.00
Space group F-43m (No. 216)
Inequivalent atoms, fractional coordinates:
Be 0.000 0.000 0.000
Zn 0.250 0.250 0.750
Mo 0.250 0.250 0.250
Ru 0.000 0.000 0.500

=====

[10]
Here is crystalline ZrBe2MoRu at its relaxed geometry from Alexandria. Energies are from PBE-GGA.

Values from the calculation:
As for the calculated volume: 17.37 Å³/atom. The value obtained for the total energy is -5.90 eV per atom.

abc: 4.266 4.266 4.773
angles: 90.00 90.00 90.00
Space group P4/mmm (No. 123)
Inequivalent atoms, fractional coordinates:
Zr 0.000 0.000 0.000
Be 0.000 0.500 0.500
Mo 0.000 0.000 0.500
Ru 0.500 0.500 0.000

=====

[11]
Here is crystalline BeMo2S at its relaxed geometry from Alexandria. Energies are from PBE-GGA.

Values from the calculation:
As for the calculated volume: 14.61 Å³/atom. The value obtained for the uncorrected formation energy is 371 meV per atom. For the energy above the lowest structure with this stoichiometry, the calculation gives 18.19 kJ per mole of atoms.

abc: 3.685 3.685 17.219
angles: 90.00 90.00 90.00
Space group I-42d (No. 122)
Inequivalent atoms, fractional coordinates:
Be 0.000 0.000 0.000
Mo 0.247 0.250 0.125
S 0.000 0.000 0.500

=====

[12]
Here is crystalline BeMo2S at its relaxed geometry from Alexandria. Energies are from PBE-GGA.

Values from the calculation:
As for the calculated volume: 12.83 Å³/atom. The value obtained for the uncorrected formation energy is 183 meV per atom. For the energy above the lowest structure with this stoichiometry, the calculation gives 0.00 kJ per mole of atoms.

abc: 5.899 5.899 5.899
angles: 90.00 90.00 90.00
Space group Fm-3m (No. 225)
Inequivalent atoms, fractional coordinates:
Be 0.000 0.000 0.000
Mo 0.250 0.250 0.250
S 0.000 0.000 0.500

=====

[13]
Here is crystalline BeMoS at its relaxed geometry from Alexandria. Energies are from PBE-GGA.

Values from the calculation:
As for the calculated volume: 15.68 Å³/atom. The value obtained for the uncorrected formation energy is -437 meV per atom.

abc: 3.2873 3.2873 30.1502
angles: 90.00 90.00 120.00
Space group R-3m (No. 166, hexagonal axes)
Inequivalent atoms, fractional coordinates:
Be 0.0000 0.0000 0.1670
Mo 0.0000 0.0000 0.4475
S 0.0000 0.0000 0.2702

=====

[14]
Here is crystalline BeMoS3 at its relaxed geometry from Alexandria. Energies are from PBE-GGA.

Values from the calculation:
As for the calculated volume: 20.44 Å³/atom. The value obtained for the uncorrected formation energy is 513 meV per atom. For the energy above the lowest structure with this stoichiometry, the calculation gives 2.96 kJ per mole of atoms.

abc: 4.675 4.675 4.675
angles: 90.00 90.00 90.00
Space group Pm-3m (No. 221)
Inequivalent atoms, fractional coordinates:
Be 0.000 0.000 0.000
Mo 0.500 0.500 0.500
S 0.000 0.500 0.500

=====

[15]
Here is crystalline BeMoS3 at its relaxed geometry from Alexandria. Energies are from PBE-GGA.

Values from the calculation:
As for the calculated volume: 15.56 Å³/atom. The value obtained for the uncorrected formation energy is 482 meV per atom. For the energy above the lowest structure with this stoichiometry, the calculation gives 0.00 kJ per mole of atoms.

abc: 4.269 4.269 4.269
angles: 90.00 90.00 90.00
Space group Pm-3m (No. 221)
Inequivalent atoms, fractional coordinates:
Be 0.000 0.000 0.000
Mo 0.500 0.500 0.500
S 0.000 0.000 0.500

=====

[16]
Here is crystalline Ti2BeMoS at its relaxed geometry from Alexandria. Energies are from PBE-GGA.

Values from the calculation:
As for the calculated volume: 19.03 Å³/atom. The value obtained for the uncorrected formation energy is 869 meV per atom.

abc: 4.713 4.713 4.283
angles: 90.00 90.00 90.00
Space group P4/mmm (No. 123)
Inequivalent atoms, fractional coordinates:
Ti 0.000 0.500 0.000
Be 0.000 0.000 0.500
Mo 0.000 0.000 0.000
S 0.500 0.500 0.500

=====

[17]
Here is crystalline Be2TlMoS at its relaxed geometry from Alexandria. Energies are from PBE-GGA.

Values from the calculation:
As for the calculated volume: 18.40 Å³/atom. The value obtained for the uncorrected formation energy is 1063 meV per atom.

abc: 4.010 4.010 5.722
angles: 90.00 90.00 90.00
Space group P4/mmm (No. 123)
Inequivalent atoms, fractional coordinates:
Be 0.000 0.500 0.000
Tl 0.000 0.000 0.500
Mo 0.500 0.500 0.500
S 0.000 0.000 0.000

=====

[18]
Here is crystalline BeSb2Mo at its relaxed geometry from Alexandria. Energies are from PBE-GGA.

Values from the calculation:
As for the calculated volume: 19.08 Å³/atom. The value obtained for the uncorrected formation energy is 649 meV per atom.

abc: 3.605 5.230 8.098
angles: 90.00 90.00 90.00
Space group Cmmm (No. 65)
Inequivalent atoms, fractional coordinates:
Be 0.000 0.000 0.000
Sb 0.000 0.500 0.238
Mo 0.000 0.000 0.500

=====

[19]
Here is crystalline BeSbMo2 at its relaxed geometry from Alexandria. Energies are from PBE-GGA.

Values from the calculation:
As for the calculated volume: 15.43 Å³/atom. The value obtained for the uncorrected formation energy is 251 meV per atom.

abc: 3.357 4.626 7.945
angles: 90.00 90.00 90.00
Space group Immm (No. 71)
Inequivalent atoms, fractional coordinates:
Be 0.000 0.000 0.000
Sb 0.000 0.000 0.500
Mo 0.000 0.500 0.294

=====

[20]
Here is crystalline BeSb2Mo at its relaxed geometry from Alexandria. Energies are from PBE-GGA.

Values from the calculation:
As for the calculated volume: 19.36 Å³/atom. The value obtained for the uncorrected formation energy is 913 meV per atom.

abc: 6.766 6.766 6.766
angles: 90.00 90.00 90.00
Space group F-43m (No. 216)
Inequivalent atoms, fractional coordinates:
Be 0.000 0.000 0.000
Sb 0.000 0.000 0.500
Sb 0.250 0.250 0.750
Mo 0.250 0.250 0.250